1.
Entry from Alexandria via LeMat-Bulk: a relaxed structure of ScInGe2Rh (PBE).

Geometry as extended XYZ:
```
5
Lattice="-0.090 3.782 3.203 -3.810 2.406 -2.948 -3.501 -2.315 2.636" Properties=species:S:1:pos:R:3 pbc="T T T"
Sc 0.000 0.000 0.000
Ge -1.751 -1.158 1.318
Ge -0.045 1.891 1.601
Rh -3.701 1.936 1.445
In -1.905 1.203 -1.474
```

* space-group type: P4/mmm (123)
* total moment: 0.74 μB per formula unit
* ΔE_f: 4.89 eV per formula unit



2.
Entry from Alexandria via LeMat-Bulk: a relaxed structure of Li4Pa3PN8 (PBE).

Geometry as extended XYZ:
```
16
Lattice="6.626 0.000 0.000 0.000 6.224 -0.259 -3.313 -3.281 5.251" Properties=species:S:1:pos:R:3 pbc="T T T"
Li 3.313 0.000 0.000
Li 1.656 -1.641 2.625
Li 0.000 0.000 0.000
Li -1.656 -1.641 2.625
Pa 3.313 3.112 -0.130
Pa 1.656 1.471 2.496
Pa -1.656 1.471 2.496
P 0.000 3.112 -0.130
N -2.051 1.025 4.781
N 0.000 2.827 3.002
N 0.000 -0.102 2.905
N 2.051 1.025 4.781
N 1.262 1.918 0.210
N 3.313 3.044 2.086
N 3.313 0.115 1.989
N 5.364 1.918 0.210
```

* space-group type: C2/m (12)
* total moment: 0.00 μB per formula unit
* formation energy (no corrections): -0.8677 eV/atom



3.
Entry from Alexandria via LeMat-Bulk: a relaxed structure of LaPmHo5Th2 (PBE).

Geometry as extended XYZ:
```
18
Lattice="-0.955 -8.795 1.160 3.517 0.696 8.170 -8.229 5.186 -1.771" Properties=species:S:1:pos:R:3 pbc="T T T"
La -3.474 0.568 1.447
La -2.193 -3.481 6.112
Pm -1.716 0.916 5.532
Pm -3.952 -3.829 2.027
Ho -1.831 -5.753 3.279
Ho -6.301 -1.183 -0.057
Ho -3.837 2.840 4.280
Ho -5.510 3.277 0.091
Ho -4.628 -1.619 4.131
Ho -0.158 -6.190 7.468
Ho -1.040 -1.294 3.428
Ho 0.633 -1.731 7.617
Ho 1.281 -4.049 4.665
Ho 0.000 0.000 0.000
Th 2.509 -4.827 7.918
Th 2.062 -0.613 5.192
Th 0.499 -7.486 4.138
Th 0.053 -3.271 1.412
```

* space-group type: I4/mcm (140)
* total moment: 0.00 μB per formula unit
* ΔE_f: 2.84 eV per formula unit



4.
Entry from Alexandria via LeMat-Bulk: a relaxed structure of KLa2Zn (PBE).

Geometry as extended XYZ:
```
4
Lattice="12.351 0.005 0.003 11.754 3.792 0.003 11.754 1.851 3.309" Properties=species:S:1:pos:R:3 pbc="T T T"
K 26.894 4.236 2.486
La 35.015 5.515 3.237
La 18.774 2.957 1.735
Zn 8.965 1.412 0.829
```

* space-group type: R-3m (166)
* distance to the lowest polymorph of the same formula: 0.0738 eV/atom
* total moment: 0.00 μB per formula unit
* ΔE_f: 0.36 eV per formula unit



5.
Entry from Alexandria via LeMat-Bulk: a relaxed structure of FeH (PBE).

Geometry as extended XYZ:
```
12
Lattice="-2.491 -0.641 -6.245 1.063 -5.487 3.791 -2.316 0.177 0.906" Properties=species:S:1:pos:R:3 pbc="T T T"
Fe -2.663 -2.286 -4.648
Fe -2.346 -5.610 0.245
Fe -1.594 -4.009 -1.578
Fe -1.080 -3.665 3.100
Fe -1.398 -0.341 -1.793
Fe -2.149 -1.942 0.030
H -2.067 -1.190 -3.337
H -2.312 -3.820 -0.018
H -2.157 -3.315 -3.152
H -1.677 -4.761 1.789
H -1.432 -2.132 -1.530
H -1.587 -2.637 1.604
```

* E: -5.70 eV/atom
* space-group type: P6_3/m (176)
* total moment: 2.28 μB per formula unit



6.
Entry from Alexandria via LeMat-Bulk: a relaxed structure of InAg6Hg (PBE).

Geometry as extended XYZ:
```
8
Lattice="-3.545 -0.814 2.233 -3.912 -2.358 -7.070 3.256 -2.806 4.145" Properties=species:S:1:pos:R:3 pbc="T T T"
In -0.952 -4.257 -3.064
Ag -2.606 -2.785 -5.152
Ag -0.644 -1.602 -1.607
Ag 0.959 -2.940 0.450
Ag -1.778 -3.974 -0.193
Ag 0.175 -2.796 3.338
Ag -1.436 -1.441 1.275
Hg -3.433 -2.491 -2.280
```

* space-group type: Amm2 (38)
* distance to the lowest polymorph of the same formula: 0.0094 eV/atom
* total moment: 0.00 μB per formula unit
* ΔE_f: 0.14 eV per formula unit



7.
Entry from Alexandria via LeMat-Bulk: a relaxed structure of CS (PBE).

Geometry as extended XYZ:
```
16
Lattice="10.372 0.000 0.000 0.000 10.372 0.000 0.000 0.000 2.764" Properties=species:S:1:pos:R:3 pbc="T T T"
C 4.088 8.928 0.000
C 6.284 1.444 0.000
C 1.444 4.088 0.000
C 8.928 6.284 0.000
C 9.274 3.742 1.382
C 1.098 6.630 1.382
C 6.630 9.274 1.382
C 3.742 1.098 1.382
S 4.475 1.847 0.000
S 5.897 8.525 0.000
S 8.525 4.475 0.000
S 1.847 5.897 0.000
S 9.661 7.033 1.382
S 0.711 3.339 1.382
S 3.339 9.661 1.382
S 7.033 0.711 1.382
```

* space-group type: I4/m (87)
* distance to the lowest polymorph of the same formula: 0.0000 eV/atom
* total moment: 0.00 μB per formula unit
* formation energy (no corrections): 1.2241 eV/atom



8.
Entry from Alexandria via LeMat-Bulk: a relaxed structure of Tb3Ho5H12 (PBE).

Geometry as extended XYZ:
```
80
Lattice="-6.719 -6.159 6.647 1.195 -5.164 -9.958 10.105 1.135 4.884" Properties=species:S:1:pos:R:3 pbc="T T T"
Tb -3.328 -6.414 1.862
Tb -3.719 -9.120 -1.042
Tb 4.693 -5.473 -1.923
Tb 2.259 -1.760 2.249
Tb -3.203 -5.751 5.793
Tb 0.754 -5.254 -2.510
Tb 3.828 -4.935 4.084
Tb 7.785 -4.437 -4.219
Tb 2.323 -8.428 -0.675
Tb -0.111 -4.715 3.497
Tb 8.301 -1.068 2.615
Tb 7.910 -3.774 -0.288
Ho 2.135 -2.423 -1.682
Ho 0.598 -2.582 -4.979
Ho 0.000 0.000 0.000
Ho -0.958 -3.459 0.614
Ho 1.693 -2.512 5.766
Ho -2.762 -5.662 -1.655
Ho 3.846 -4.217 -4.806
Ho 3.952 -4.271 8.015
Ho -0.503 -7.421 0.593
Ho 5.209 -2.104 4.911
Ho -0.627 -8.084 -3.338
Ho 2.291 -5.094 0.787
Ho -3.360 -3.079 3.324
Ho 5.053 0.568 2.442
Ho 5.084 -2.767 0.980
Ho 0.629 -5.917 -6.441
Ho 5.650 -2.015 -2.537
Ho 0.736 -5.971 6.380
Ho 5.539 -6.729 0.960
Ho 2.447 -7.765 3.256
H -4.024 -5.164 3.599
H 2.540 -4.551 -1.336
H -3.068 -7.244 4.114
H -1.985 -4.451 2.279
H 3.686 -6.496 -0.190
H -3.985 -8.621 1.137
H 2.978 -5.632 -3.371
H 2.059 -5.172 -7.929
H 3.819 -7.708 -2.193
H -2.573 -7.215 -0.101
H -1.190 -6.644 2.526
H -3.916 -9.820 -3.171
H 5.541 -4.029 -3.426
H -1.135 -4.188 -1.448
H 4.132 -4.746 -6.916
H 3.238 -2.767 4.213
H 1.967 -0.997 -0.023
H -1.250 -5.984 -3.228
H -1.740 -9.671 -2.309
H 0.381 -3.058 -2.837
H 6.640 -6.091 -3.211
H 1.172 -6.504 -0.487
H 0.581 -9.322 0.435
H 4.581 -5.497 6.308
H 3.410 -3.684 2.061
H 4.001 -0.866 1.138
H 0.001 -4.691 -4.734
H 6.322 -0.517 3.883
H -2.058 -4.097 4.784
H 4.201 -7.130 4.411
H 5.832 -4.204 4.802
H 1.344 -7.421 -2.639
H 2.615 -9.191 1.597
H 0.450 -5.442 8.490
H -0.960 -6.159 5.000
H 8.498 -0.368 4.745
H 5.716 -6.000 3.021
H 0.763 -2.480 3.767
H 7.155 -2.973 1.675
H 5.772 -3.544 -0.953
H 2.523 -5.016 9.503
H 1.604 -4.557 4.945
H 6.567 -5.737 -0.705
H 8.566 -1.567 0.437
H 0.896 -3.693 1.763
H 7.650 -2.944 -2.541
H 2.041 -5.637 2.909
H 8.606 -5.024 -2.025
```

* E: -4.32 eV/atom
* space-group type: Ia-3d (230)
* total moment: 0.00 μB per formula unit



9.
Entry from Alexandria via LeMat-Bulk: a relaxed structure of Er3Tl4Zn2 (PBE).

Geometry as extended XYZ:
```
9
Lattice="-3.571 -0.724 -3.119 5.197 1.666 -2.649 -0.252 -8.787 2.329" Properties=species:S:1:pos:R:3 pbc="T T T"
Er -0.871 -5.833 -1.336
Er 0.000 0.000 0.000
Er 2.246 -2.012 -2.104
Tl -0.511 -0.238 -3.048
Tl 1.885 -7.608 -0.392
Tl 1.115 -4.722 -3.867
Tl 0.260 -3.124 0.428
Zn -0.813 -2.827 -2.100
Zn 2.188 -5.018 -1.339
```

* space-group type: C2/m (12)
* total moment: 0.00 μB per formula unit
* ΔE_f: -1.92 eV per formula unit



10.
Entry from Alexandria via LeMat-Bulk: a relaxed structure of MnCo4Cu10Sn5S20 (PBE).

Geometry as extended XYZ:
```
40
Lattice="-0.771 4.878 -2.203 -3.278 -2.190 -3.702 -23.286 5.404 13.471" Properties=species:S:1:pos:R:3 pbc="T T T"
Mn -5.789 0.655 -3.161
Co -8.835 5.010 0.909
Co -14.313 2.283 3.423
Co -17.274 6.621 7.428
Co -22.752 3.894 9.942
Cu -4.536 4.189 -2.412
Cu -10.104 1.479 0.172
Cu -13.054 5.816 4.168
Cu -18.533 3.088 6.683
Cu -21.483 7.425 10.679
Cu -23.217 5.391 13.418
Cu -6.346 2.169 0.386
Cu -12.591 4.319 0.693
Cu -14.781 3.780 6.902
Cu -21.020 5.929 7.205
Sn -25.245 6.735 10.468
Sn -8.366 3.512 -2.570
Sn -10.562 2.974 3.643
Sn -16.806 5.124 3.949
Sn -19.001 4.586 10.161
S -4.270 1.281 0.903
S -10.493 3.501 1.219
S -16.737 5.646 1.524
S -18.929 5.110 7.736
S -25.175 7.251 8.045
S -6.161 2.626 -1.877
S -8.377 2.017 4.325
S -14.618 4.171 4.631
S -20.861 6.318 4.935
S -23.058 5.789 11.148
S -3.724 -0.328 -2.497
S -6.891 4.064 1.590
S -12.371 1.336 4.094
S -18.612 3.484 4.402
S -21.579 7.825 8.405
S -2.446 3.421 -1.769
S -8.051 0.704 0.919
S -11.013 5.044 4.936
S -17.256 7.195 5.240
S -22.725 4.465 7.752
```

* space-group type: I-4 (82)
* total moment: 6.78 μB per formula unit
* formation energy (no corrections): -0.3331 eV/atom



11.
Entry from Alexandria via LeMat-Bulk: a relaxed structure of PuTlSn2Br8 (PBE).

Geometry as extended XYZ:
```
12
Lattice="-1.619 -5.698 4.147 4.364 -4.032 -3.621 6.759 2.213 5.675" Properties=species:S:1:pos:R:3 pbc="T T T"
Pu 0.000 0.000 0.000
Tl 3.380 1.107 2.838
Sn 6.424 -3.212 4.505
Sn 3.081 -4.305 1.696
Br 4.523 -3.443 -0.806
Br 8.958 -4.694 5.745
Br 1.218 -5.301 3.847
Br 4.982 -4.074 7.007
Br 0.547 -2.823 0.456
Br 8.287 -2.216 2.354
Br 5.523 -5.418 2.832
Br 3.981 -2.099 3.369
```

* space-group type: P2/m (10)
* total moment: 5.00 μB per formula unit
* formation energy (no corrections): -1.0093 eV/atom



12.
Entry from Alexandria via LeMat-Bulk: a relaxed structure of RbSm2MnTe4 (PBE).

Geometry as extended XYZ:
```
16
Lattice="-1.567 1.832 -3.766 -5.229 -5.902 1.960 -8.390 10.247 8.476" Properties=species:S:1:pos:R:3 pbc="T T T"
Rb -7.625 6.581 6.374
Rb -7.562 -0.404 0.295
Sm -9.138 2.069 4.809
Sm -2.872 0.228 -1.349
Sm -6.049 4.108 1.860
Sm -12.314 5.948 8.018
Mn -11.097 5.267 4.525
Mn -4.089 0.910 2.144
Te -4.128 -1.501 0.988
Te -8.738 4.844 3.337
Te -11.058 7.678 5.682
Te -6.448 1.333 3.332
Te -4.195 5.124 4.238
Te 0.000 0.000 0.000
Te -11.502 3.365 6.423
Te -3.684 2.812 0.246
```

* space-group type: Cmcm (63)
* total moment: 4.19 μB per formula unit
* formation energy (no corrections): -1.0939 eV/atom



13.
Entry from Alexandria via LeMat-Bulk: a relaxed structure of SrRu2Cl (PBE).

Geometry as extended XYZ:
```
4
Lattice="-2.861 1.112 1.294 -1.596 -2.649 -1.251 0.660 -5.368 6.071" Properties=species:S:1:pos:R:3 pbc="T T T"
Cl -2.482 -5.812 3.795
Ru -1.172 -2.499 -0.443
Ru -1.637 -1.081 1.597
Sr -0.569 -4.170 2.325
```

* space-group type: Amm2 (38)
* distance to the lowest polymorph of the same formula: 0.0053 eV/atom
* total moment: 0.00 μB per formula unit
* formation energy (no corrections): -0.1024 eV/atom



14.
Entry from Alexandria via LeMat-Bulk: a relaxed structure of Pt5Au3 (PBE).

Geometry as extended XYZ:
```
16
Lattice="7.931 0.000 0.000 -3.967 6.868 0.000 0.000 0.000 5.120" Properties=species:S:1:pos:R:3 pbc="T T T"
Au 6.323 2.784 3.840
Au -2.359 4.084 1.280
Au -0.752 6.868 3.840
Au 1.607 2.785 1.280
Au 4.716 0.000 1.280
Au 2.357 4.084 3.840
Pt -0.804 1.392 1.280
Pt -3.163 5.476 3.840
Pt 1.608 0.000 1.280
Pt 0.804 1.392 3.840
Pt -0.001 4.579 0.000
Pt -0.001 4.579 2.560
Pt 3.965 2.290 5.120
Pt 3.965 2.290 2.560
Pt 2.356 6.868 3.840
Pt 3.160 5.476 1.280
```

* space-group type: P6_3/mcm (193)
* distance to the lowest polymorph of the same formula: 0.2563 eV/atom
* total moment: 0.00 μB per formula unit
* ΔE_f: 2.57 eV per formula unit



15.
Entry from Alexandria via LeMat-Bulk: a relaxed structure of TlH3Pt (PBE).

Geometry as extended XYZ:
```
5
Lattice="3.920 0.000 0.000 0.000 3.920 0.000 0.000 0.000 3.920" Properties=species:S:1:pos:R:3 pbc="T T T"
H 0.000 1.960 0.000
H 0.000 0.000 1.960
H 1.960 0.000 0.000
Tl 0.000 0.000 0.000
Pt 1.960 1.960 1.960
```

* space-group type: Pm-3m (221)
* distance to the lowest polymorph of the same formula: 1.1258 eV/atom
* total moment: 0.00 μB per formula unit



16.
Entry from Alexandria via LeMat-Bulk: a relaxed structure of PmTmZn2Ga2 (PBE).

Geometry as extended XYZ:
```
6
Lattice="4.428 0.000 0.000 -2.214 3.835 0.000 0.000 0.000 7.282" Properties=species:S:1:pos:R:3 pbc="T T T"
Pm 0.000 0.000 0.000
Tm 0.000 0.000 3.641
Zn 2.214 1.278 5.281
Zn 0.000 2.557 2.001
Ga 2.214 1.278 1.935
Ga 0.000 2.557 5.347
```

* space-group type: P-3m1 (164)
* total moment: 0.00 μB per formula unit
* ΔE_f: -3.38 eV per formula unit